Density functional theory data (PBE) for a relaxed structure of CsMnPt2.

Calculated values
DFT total energy = -4.746 eV/atom
total magnetization = 16.0 Bohr magnetons per cell
ΔE_f = 780 meV per atom

Cell lengths 6.9915, 6.9915, 6.9915 Å; angles 90.00, 90.00, 90.00 degrees
Last column: nearest neighbours and their distance in Å.
Space group Fm-3m (No. 225)
Inequivalent atoms, fractional coordinates:
Cs (0.0000, 0.0000, 0.0000) x4  8 Pt 3.03
Mn (0.0000, 0.0000, 0.5000) x4  8 Pt 3.03
Pt (0.2500, 0.2500, 0.2500) x8  4 Mn 3.03, 4 Cs 3.03